1.
{
  "formula": "Er2VB10",
  "functional": "GGA-PBE",
  "state": "optimized geometry",
  "cell": [[4.136, 0.000, 0.000], [0.000, 5.704, 0.000], [0.000, 0.000, 11.358]],
  "species": ["Er", "Er", "Er", "Er", "V", "V", "B", "B", "B", "B", "B", "B", "B", "B", "B", "B", "B", "B", "B", "B", "B", "B", "B", "B", "B", "B"],
  "fractional_positions": [[0.500, 0.301, 0.860], [0.500, 0.699, 0.140], [0.500, 0.801, 0.640], [0.500, 0.199, 0.360], [0.000, 0.500, 0.500], [0.000, 0.000, 0.000], [0.000, 0.121, 0.541], [0.000, 0.879, 0.459], [0.000, 0.621, 0.959], [0.000, 0.379, 0.041], [0.000, 0.134, 0.698], [0.000, 0.866, 0.302], [0.300, 0.224, 0.119], [0.300, 0.776, 0.881], [0.700, 0.724, 0.381], [0.700, 0.276, 0.619], [0.700, 0.776, 0.881], [0.700, 0.224, 0.119], [0.300, 0.276, 0.619], [0.300, 0.724, 0.381], [0.000, 0.057, 0.191], [0.000, 0.943, 0.809], [0.000, 0.557, 0.309], [0.000, 0.443, 0.691], [0.000, 0.366, 0.198], [0.000, 0.634, 0.802]],
  "formation_energy_kj_per_mol_atoms": -34.72,
  "e_tot_ry_per_atom": -0.5071,
  "sg": "No. 55",
  "n_ef_per_ev_fu": 3.359
}

2.
{
  "formula": "Al4CrGe",
  "functional": "GGA-PBE",
  "state": "optimized geometry",
  "cell": [[5.100, 0.000, 0.000], [0.000, 4.869, 0.000], [0.000, 0.000, 8.570]],
  "species": ["Al", "Al", "Al", "Al", "Al", "Al", "Al", "Al", "Cr", "Cr", "Ge", "Ge"],
  "fractional_positions": [[0.367, 0.259, 0.165], [0.367, 0.741, 0.835], [0.633, 0.259, 0.835], [0.633, 0.741, 0.165], [0.845, 0.723, 0.723], [0.845, 0.277, 0.277], [0.155, 0.723, 0.277], [0.155, 0.277, 0.723], [0.000, 0.500, 0.000], [0.000, 0.000, 0.500], [0.000, 0.000, 0.000], [0.500, 0.000, 0.500]],
  "formation_energy_kj_per_mol_atoms": 19.98,
  "e_tot_ry_per_atom": -0.3426,
  "sg": "No. 16",
  "n_ef_per_ev_fu": 1.911
}

3.
{
  "formula": "Nd6Ir2Br3Cl",
  "functional": "GGA-PBE",
  "state": "optimized geometry",
  "cell": [[-1.240, -7.126, -1.604], [6.930, 2.618, 0.085], [-1.310, -0.266, 7.871]],
  "species": ["Nd", "Nd", "Nd", "Nd", "Nd", "Nd", "Ir", "Ir", "Br", "Br", "Br", "Cl"],
  "fractional_positions": [[0.932, 0.567, 0.798], [0.702, 0.702, 0.199], [0.068, 0.433, 0.202], [0.567, 0.932, 0.798], [0.298, 0.298, 0.801], [0.433, 0.068, 0.202], [0.333, 0.667, 0.000], [0.667, 0.333, 0.000], [0.160, 0.840, 0.500], [0.840, 0.160, 0.500], [0.500, 0.500, 0.500], [0.000, 0.000, 0.000]],
  "e_tot_ry_per_atom": -0.4120,
  "sg": "No. 12",
  "formation_energy_uncorrected_ev_per_atom": -1.172,
  "n_ef_per_ev_fu": 8.996
}

4.
{
  "formula": "In2PtS",
  "functional": "GGA-PBE",
  "state": "optimized geometry",
  "cell": [[-4.751, -3.094, -3.825], [0.545, -5.616, 3.865], [-5.141, -2.876, 2.597]],
  "species": ["S", "S", "Pt", "Pt", "In", "In", "In", "In"],
  "fractional_positions": [[0.500, 0.500, 0.000], [0.250, 0.750, 0.500], [0.000, 0.000, 0.000], [0.750, 0.250, 0.500], [0.624, 0.125, 0.250], [0.126, 0.625, 0.250], [0.375, 0.376, 0.750], [0.875, 0.874, 0.750]],
  "e_tot_ry_per_atom": -0.3037,
  "sg": "No. 122",
  "formation_energy_uncorrected_ev_per_atom": -0.221,
  "n_ef_per_ev_fu": 0.066
}

5.
{
  "formula": "PmNd2Y",
  "functional": "GGA-PBE",
  "state": "optimized geometry",
  "cell": [[3.647, 0.000, 0.000], [0.000, 3.647, 0.000], [0.000, 0.000, 10.326]],
  "species": ["Y", "Nd", "Nd", "Pm"],
  "fractional_positions": [[0.500, 0.500, 0.000], [0.000, 0.000, 0.752], [0.000, 0.000, 0.248], [0.500, 0.500, 0.500]],
  "polymorph_energy_kcal_per_mol_atoms": 0.111,
  "formation_energy_kj_per_mol_atoms": 1.50,
  "e_tot_ry_per_atom": -0.3801,
  "sg": "No. 123",
  "n_ef_per_ev_fu": 5.787
}

6.
{
  "formula": "PmInAg",
  "functional": "GGA-PBE",
  "state": "optimized geometry",
  "cell": [[3.509, 0.000, 0.000], [0.000, 3.509, 0.000], [-1.755, -1.755, 5.986]],
  "species": ["In", "Ag", "Pm"],
  "fractional_positions": [[0.300, 0.300, 0.601], [0.938, 0.938, 0.877], [0.611, 0.611, 0.223]],
  "polymorph_energy_kcal_per_mol_atoms": 3.410,
  "formation_energy_kj_per_mol_atoms": -25.76,
  "e_tot_ry_per_atom": -0.2730,
  "sg": "No. 107",
  "n_ef_per_ev_fu": 2.036
}

7.
{
  "formula": "CaEu2Cu",
  "functional": "GGA-PBE",
  "state": "optimized geometry",
  "cell": [[-0.534, 2.173, -2.984], [-1.343, -2.923, -1.888], [-8.735, 2.043, 3.052]],
  "species": ["Eu", "Eu", "Ca", "Cu"],
  "fractional_positions": [[0.000, 0.000, 0.816], [0.000, 0.000, 0.184], [0.500, 0.500, 0.500], [0.500, 0.500, 0.000]],
  "polymorph_energy_kcal_per_mol_atoms": 0.000,
  "formation_energy_kj_per_mol_atoms": -4.00,
  "e_tot_ry_per_atom": -0.4927,
  "sg": "No. 123",
  "n_ef_per_ev_fu": 12.637
}

8.
{
  "formula": "Tb3Pr2Nd8",
  "functional": "GGA-PBE",
  "state": "optimized geometry",
  "cell": [[-2.053, -2.583, 5.236], [-11.096, -0.099, -4.399], [5.638, -6.675, 2.125]],
  "species": ["Tb", "Tb", "Tb", "Pr", "Pr", "Nd", "Nd", "Nd", "Nd", "Nd", "Nd", "Nd", "Nd"],
  "fractional_positions": [[0.500, 0.000, 0.000], [0.000, 0.262, 0.000], [0.000, 0.738, 0.000], [0.654, 0.693, 0.387], [0.346, 0.307, 0.613], [0.765, 0.418, 0.836], [0.235, 0.582, 0.164], [0.090, 0.860, 0.720], [0.910, 0.140, 0.280], [0.337, 0.924, 0.330], [0.337, 0.406, 0.330], [0.663, 0.594, 0.670], [0.663, 0.076, 0.670]],
  "polymorph_energy_kcal_per_mol_atoms": 0.000,
  "formation_energy_kj_per_mol_atoms": 15.54,
  "e_tot_ry_per_atom": -0.3364,
  "sg": "No. 12",
  "n_ef_per_ev_fu": 21.110
}

9.
{
  "formula": "MoOsRh2",
  "functional": "GGA-PBE",
  "state": "optimized geometry",
  "cell": [[-3.848, 1.827, -1.989], [-2.915, -3.541, -1.034], [2.207, 1.096, 4.004]],
  "species": ["Mo", "Os", "Rh", "Rh"],
  "fractional_positions": [[0.500, 0.500, 0.000], [0.250, 0.750, 0.500], [0.000, 0.000, 0.000], [0.750, 0.250, 0.500]],
  "polymorph_energy_kcal_per_mol_atoms": 2.758,
  "formation_energy_kj_per_mol_atoms": -6.65,
  "e_tot_ry_per_atom": -0.6806,
  "sg": "No. 119",
  "n_ef_per_ev_fu": 3.516
}

10.
{
  "formula": "Ac3TlAg8",
  "functional": "GGA-PBE",
  "state": "optimized geometry",
  "cell": [[5.899, 0.000, 0.000], [2.949, 5.109, 0.000], [2.949, 1.703, 9.713]],
  "species": ["Ac", "Ac", "Ac", "Tl", "Ag", "Ag", "Ag", "Ag", "Ag", "Ag", "Ag", "Ag"],
  "fractional_positions": [[0.378, 0.378, 0.866], [0.993, 0.993, 0.021], [0.505, 0.505, 0.485], [0.871, 0.871, 0.387], [0.943, 0.435, 0.186], [0.436, 0.938, 0.687], [0.435, 0.435, 0.186], [0.938, 0.938, 0.687], [0.189, 0.189, 0.434], [0.688, 0.688, 0.937], [0.435, 0.943, 0.186], [0.938, 0.436, 0.687]],
  "formation_energy_kj_per_mol_atoms": -16.71,
  "e_tot_ry_per_atom": -0.2424,
  "sg": "No. 160",
  "n_ef_per_ev_fu": 6.812
}

11.
{
  "formula": "V5Ga2W",
  "functional": "GGA-PBE",
  "state": "optimized geometry",
  "cell": [[-0.165, -1.871, -4.021], [1.110, -3.913, 1.776], [-6.017, 1.679, 1.915]],
  "species": ["V", "V", "V", "V", "V", "Ga", "Ga", "W"],
  "fractional_positions": [[0.500, 0.500, 0.000], [0.621, 0.121, 0.243], [0.121, 0.621, 0.243], [0.379, 0.879, 0.757], [0.879, 0.379, 0.757], [0.251, 0.251, 0.502], [0.749, 0.749, 0.498], [0.000, 0.000, 0.000]],
  "formation_energy_kj_per_mol_atoms": -15.80,
  "e_tot_ry_per_atom": -0.6055,
  "sg": "No. 139",
  "n_ef_per_ev_fu": 6.370
}

12.
{
  "formula": "Na2YP2",
  "functional": "GGA-PBE",
  "state": "optimized geometry",
  "cell": [[7.966, 0.000, 0.000], [0.000, 7.966, 0.000], [0.000, 0.000, 3.493]],
  "species": ["Y", "Y", "P", "P", "P", "P", "Na", "Na", "Na", "Na"],
  "fractional_positions": [[0.000, 0.000, 0.000], [0.500, 0.500, 0.000], [0.317, 0.817, 0.000], [0.817, 0.683, 0.000], [0.683, 0.183, 0.000], [0.183, 0.317, 0.000], [0.120, 0.620, 0.500], [0.620, 0.880, 0.500], [0.880, 0.380, 0.500], [0.380, 0.120, 0.500]],
  "formation_energy_kj_per_mol_atoms": -32.03,
  "e_tot_ry_per_atom": -0.3172,
  "sg": "No. 127",
  "n_ef_per_ev_fu": 2.112
}

13.
{
  "formula": "PmAgH6Pd4",
  "functional": "GGA-PBE",
  "state": "optimized geometry",
  "cell": [[4.798, 0.000, 0.000], [-2.399, 4.155, 0.000], [0.000, 0.000, 6.718]],
  "species": ["Pm", "Ag", "H", "H", "H", "H", "H", "H", "Pd", "Pd", "Pd", "Pd"],
  "fractional_positions": [[0.000, 0.000, 0.500], [0.000, 0.000, 0.000], [0.500, 0.500, 0.356], [0.500, 0.500, 0.644], [0.500, 0.000, 0.356], [0.000, 0.500, 0.356], [0.500, 0.000, 0.644], [0.000, 0.500, 0.644], [0.667, 0.333, 0.201], [0.333, 0.667, 0.201], [0.333, 0.667, 0.799], [0.667, 0.333, 0.799]],
  "e_tot_ry_per_atom": -0.3139,
  "sg": "No. 191",
  "n_ef_per_ev_fu": 3.786
}

14.
{
  "formula": "Tb2WN4",
  "functional": "GGA-PBE",
  "state": "optimized geometry",
  "cell": [[-5.097, 1.414, -3.164], [2.656, -5.360, -1.486], [-2.259, -0.944, 6.628]],
  "species": ["Tb", "Tb", "Tb", "Tb", "W", "W", "N", "N", "N", "N", "N", "N", "N", "N"],
  "fractional_positions": [[0.432, 0.568, 0.750], [0.818, 0.182, 0.750], [0.568, 0.432, 0.250], [0.182, 0.818, 0.250], [0.875, 0.125, 0.250], [0.125, 0.875, 0.750], [0.230, 0.245, 0.401], [0.843, 0.329, 0.099], [0.671, 0.157, 0.401], [0.755, 0.770, 0.099], [0.245, 0.230, 0.901], [0.329, 0.843, 0.599], [0.157, 0.671, 0.901], [0.770, 0.755, 0.599]],
  "polymorph_energy_kcal_per_mol_atoms": 0.000,
  "e_tot_ry_per_atom": -0.6722,
  "sg": "No. 70",
  "formation_energy_uncorrected_ev_per_atom": -1.215
}

15.
{
  "formula": "Ce2PrHo3Tm6",
  "functional": "GGA-PBE",
  "state": "optimized geometry",
  "cell": [[6.097, 0.000, 0.008], [-3.047, 5.281, 0.008], [-1.030, -1.784, 11.443]],
  "species": ["Ce", "Ce", "Pr", "Ho", "Ho", "Ho", "Tm", "Tm", "Tm", "Tm", "Tm", "Tm"],
  "fractional_positions": [[0.333, 0.667, 0.000], [0.667, 0.333, 0.000], [0.000, 0.000, 0.000], [0.166, 0.834, 0.500], [0.834, 0.166, 0.500], [0.500, 0.500, 0.500], [0.916, 0.580, 0.749], [0.748, 0.748, 0.251], [0.084, 0.420, 0.251], [0.580, 0.916, 0.749], [0.252, 0.252, 0.749], [0.420, 0.084, 0.251]],
  "formation_energy_kj_per_mol_atoms": 5.09,
  "e_tot_ry_per_atom": -0.3465,
  "sg": "No. 12",
  "n_ef_per_ev_fu": 22.026
}

16.
{
  "formula": "MnNiMo2",
  "functional": "GGA-PBE",
  "state": "optimized geometry",
  "cell": [[-1.058, -6.743, 5.967], [1.309, -7.504, 4.915], [1.242, -5.710, 6.931]],
  "species": ["Mn", "Mo", "Mo", "Ni"],
  "fractional_positions": [[0.755, 0.755, 0.755], [0.004, 0.004, 0.004], [0.244, 0.244, 0.244], [0.497, 0.497, 0.497]],
  "polymorph_energy_kcal_per_mol_atoms": 5.042,
  "formation_energy_kj_per_mol_atoms": 27.21,
  "e_tot_ry_per_atom": -0.6520,
  "sg": "No. 160",
  "n_ef_per_ev_fu": 4.340
}

17.
{
  "formula": "TlIn2Os",
  "functional": "GGA-PBE",
  "state": "optimized geometry",
  "cell": [[5.323, -0.004, 0.000], [1.760, 5.024, 0.000], [-3.541, -2.510, 3.081]],
  "species": ["In", "In", "Os", "Tl"],
  "fractional_positions": [[0.000, 0.000, 0.000], [0.250, 0.750, 0.500], [0.500, 0.500, 0.000], [0.750, 0.250, 0.500]],
  "polymorph_energy_kcal_per_mol_atoms": 7.119,
  "formation_energy_kj_per_mol_atoms": 64.49,
  "e_tot_ry_per_atom": -0.3013,
  "sg": "No. 119",
  "n_ef_per_ev_fu": 2.071
}

18.
{
  "formula": "Y8Te4P3S",
  "functional": "GGA-PBE",
  "state": "optimized geometry",
  "cell": [[-2.260, -5.098, -6.030], [-1.927, -5.964, 5.764], [-3.493, 7.406, 0.642]],
  "species": ["Y", "Y", "Y", "Y", "Y", "Y", "Y", "Y", "Te", "Te", "Te", "Te", "P", "P", "P", "S"],
  "fractional_positions": [[0.238, 0.708, 0.970], [0.238, 0.708, 0.476], [0.264, 0.291, 0.527], [0.732, 0.708, 0.970], [0.268, 0.292, 0.030], [0.736, 0.709, 0.473], [0.762, 0.292, 0.524], [0.762, 0.292, 0.030], [0.500, 0.000, 0.000], [0.500, 0.000, 0.500], [0.000, 0.000, 0.000], [0.000, 0.000, 0.500], [0.500, 0.500, 0.000], [0.500, 0.500, 0.500], [0.000, 0.500, 0.500], [0.000, 0.500, 0.000]],
  "e_tot_ry_per_atom": -0.5068,
  "sg": "No. 166",
  "formation_energy_uncorrected_ev_per_atom": -1.605,
  "n_ef_per_ev_fu": 7.390
}

19.
{
  "formula": "Ho2Pb2O",
  "functional": "GGA-PBE",
  "state": "optimized geometry",
  "cell": [[-1.431, -2.101, -2.650], [-2.393, -5.621, 5.748], [-6.473, 4.932, 2.128]],
  "species": ["Ho", "Ho", "Ho", "Ho", "Pb", "Pb", "Pb", "Pb", "O", "O"],
  "fractional_positions": [[0.461, 0.381, 0.922], [0.872, 0.058, 0.745], [0.128, 0.558, 0.255], [0.539, 0.881, 0.078], [0.892, 0.690, 0.784], [0.775, 0.390, 0.549], [0.225, 0.890, 0.451], [0.108, 0.190, 0.216], [0.436, 0.115, 0.872], [0.564, 0.615, 0.128]],
  "e_tot_ry_per_atom": -0.4112,
  "sg": "No. 36",
  "formation_energy_uncorrected_ev_per_atom": -1.288,
  "n_ef_per_ev_fu": 2.928
}

20.
{
  "formula": "Li5HgRh",
  "functional": "GGA-PBE",
  "state": "optimized geometry",
  "cell": [[3.752, 0.628, 0.000], [-0.627, 3.752, 0.000], [0.000, 0.000, 8.074]],
  "species": ["Li", "Li", "Li", "Li", "Li", "Hg", "Rh"],
  "fractional_positions": [[0.500, 0.000, 0.264], [0.000, 0.500, 0.264], [0.000, 0.000, 0.500], [0.000, 0.500, 0.736], [0.500, 0.000, 0.736], [0.000, 0.000, 0.000], [0.500, 0.500, 0.500]],
  "polymorph_energy_kcal_per_mol_atoms": 0.364,
  "formation_energy_kj_per_mol_atoms": -9.87,
  "e_tot_ry_per_atom": -0.1883,
  "sg": "No. 123",
  "n_ef_per_ev_fu": 2.393
}